Record 1
An optimized crystal structure of YPt2, computed with PBE-GGA.

Unit cell a=6.423 b=6.423 c=6.423 alpha=144.24 beta=127.32 gamma=65.31
Fractional positions:
Pt 0.246 0.000 0.246
Pt 0.754 0.000 0.754
Pt 0.625 0.625 0.000
Pt 0.375 0.375 0.000
Y 0.178 0.678 0.500
Y 0.822 0.322 0.500

Output
Formation energy: -0.97 eV/atom
Symmetry: No. 71


Record 2
An optimized crystal structure of PrTm3Te6, computed with PBE-GGA.

Unit cell a=4.371 b=12.439 c=12.770 alpha=109.34 beta=90.00 gamma=90.00
Fractional positions:
Te 0.250 0.518 0.384
Te 0.750 0.803 0.750
Te 0.250 0.197 0.250
Te 0.750 0.739 0.276
Te 0.750 0.915 0.094
Te 0.250 0.085 0.906
Te 0.750 0.118 0.468
Te 0.250 0.882 0.532
Te 0.750 0.391 0.059
Te 0.250 0.609 0.941
Te 0.250 0.261 0.724
Te 0.750 0.482 0.616
Tm 0.250 0.318 0.499
Tm 0.250 0.844 0.916
Tm 0.250 0.563 0.165
Tm 0.750 0.682 0.501
Tm 0.750 0.437 0.835
Tm 0.750 0.156 0.084
Pr 0.250 0.952 0.301
Pr 0.750 0.048 0.699

Output
Uncorrected formation energy: -1.38 eV/atom
Symmetry: No. 11


Record 3
An optimized crystal structure of Na3Ga6Pd5, computed with PBE-GGA.

Unit cell a=4.261 b=9.274 c=12.815 alpha=90.00 beta=90.00 gamma=90.00
Fractional positions:
Pd 0.500 0.465 0.383
Pd 0.000 0.871 0.661
Pd 0.000 0.535 0.117
Pd 0.500 0.129 0.839
Pd 0.500 0.465 0.617
Pd 0.500 0.206 0.500
Pd 0.000 0.535 0.883
Pd 0.000 0.794 0.000
Pd 0.000 0.871 0.339
Pd 0.500 0.129 0.161
Ga 0.500 0.587 0.000
Ga 0.000 0.976 0.153
Ga 0.500 0.963 0.000
Ga 0.500 0.407 0.817
Ga 0.000 0.413 0.500
Ga 0.000 0.593 0.683
Ga 0.500 0.024 0.347
Ga 0.500 0.024 0.653
Ga 0.000 0.593 0.317
Ga 0.000 0.976 0.847
Ga 0.000 0.037 0.500
Ga 0.500 0.407 0.183
Na 0.000 0.257 0.000
Na 0.000 0.250 0.301
Na 0.000 0.250 0.699
Na 0.500 0.750 0.801
Na 0.500 0.750 0.199
Na 0.500 0.743 0.500

Output
Formation energy: -0.43 eV/atom
Symmetry: No. 59


Record 4
An optimized crystal structure of ReSnAs2Br, computed with PBE-GGA.

Unit cell a=4.786 b=4.786 c=5.500 alpha=90.00 beta=90.00 gamma=90.00
Fractional positions:
As 0.500 0.000 0.000
As 0.000 0.500 0.000
Re 0.000 0.000 0.000
Br 0.000 0.000 0.500
Sn 0.500 0.500 0.500

Output
Uncorrected formation energy: 0.47 eV/atom
Symmetry: No. 123


Record 5
An optimized crystal structure of Ga2CoSn, computed with PBE-GGA.

Unit cell a=3.673 b=4.872 c=8.044 alpha=90.00 beta=90.00 gamma=112.34
Fractional positions:
Co 0.777 0.555 0.750
Co 0.223 0.445 0.250
Ga 0.354 0.707 0.955
Ga 0.646 0.293 0.455
Ga 0.646 0.293 0.045
Ga 0.354 0.707 0.545
Sn 0.062 0.126 0.750
Sn 0.938 0.874 0.250

Output
Formation energy: -0.11 eV/atom
Symmetry: No. 11


Record 6
An optimized crystal structure of CaTlFe, computed with PBE-GGA.

Unit cell a=3.447 b=3.447 c=7.025 alpha=90.00 beta=90.00 gamma=120.00
Site moments in Bohr magnetons follow the coordinates.
Fractional positions:
Ca 0.000 0.000 0.022  -0.11
Tl 0.667 0.333 0.634  -0.03
Fe 0.333 0.667 0.344  2.80

Output
Formation energy: 0.48 eV/atom
Symmetry: No. 156


Record 7
An optimized crystal structure of Li2InCu2, computed with PBE-GGA.

Unit cell a=7.091 b=7.091 c=3.039 alpha=90.00 beta=90.00 gamma=90.00
Fractional positions:
Cu 0.376 0.876 0.000
Cu 0.624 0.124 0.000
Cu 0.876 0.624 0.000
Cu 0.124 0.376 0.000
Li 0.831 0.331 0.500
Li 0.169 0.669 0.500
Li 0.331 0.169 0.500
Li 0.669 0.831 0.500
In 0.000 0.000 0.000
In 0.500 0.500 0.000

Output
Formation energy: -0.07 eV/atom
Symmetry: No. 127


Record 8
An optimized crystal structure of K2AlRe, computed with PBE-GGA.

Unit cell a=4.211 b=2.865 c=10.343 alpha=80.02 beta=90.00 gamma=90.00
Site moments in Bohr magnetons follow the coordinates.
Fractional positions:
Al 0.500 0.835 0.652  0.00
K 0.500 0.222 0.334  0.00
K 0.000 0.064 0.918  0.00
Re 0.000 0.379 0.596  0.33

Output
Formation energy: 0.63 eV/atom
Symmetry: No. 6


Record 9
An optimized crystal structure of LaAlCo2, computed with PBE-GGA.

Unit cell a=4.557 b=4.557 c=8.706 alpha=74.83 beta=74.83 gamma=90.00
Site moments in Bohr magnetons follow the coordinates.
Fractional positions:
Co 0.875 0.651 0.750  0.84
Co 0.349 0.625 0.250  0.94
Co 0.375 0.599 0.750  0.84
Co 0.401 0.125 0.250  0.94
Al 0.250 0.750 0.500  -0.02
Al 0.500 0.500 0.000  -0.02
La 0.750 0.250 0.500  -0.12
La 0.000 0.000 0.000  -0.12

Output
Formation energy: 0.05 eV/atom
Symmetry: No. 122


Record 10
An optimized crystal structure of Sr2LiGa3Au12, computed with PBE-GGA.

Unit cell a=8.429 b=8.429 c=8.429 alpha=62.47 beta=62.47 gamma=62.47
Fractional positions:
Ga 0.000 0.000 0.500
Ga 0.000 0.500 0.000
Ga 0.500 0.000 0.000
Au 0.647 0.026 0.647
Au 0.125 0.125 0.648
Au 0.647 0.647 0.026
Au 0.875 0.352 0.875
Au 0.125 0.648 0.125
Au 0.974 0.353 0.353
Au 0.352 0.875 0.875
Au 0.875 0.875 0.352
Au 0.353 0.974 0.353
Au 0.026 0.647 0.647
Au 0.648 0.125 0.125
Au 0.353 0.353 0.974
Sr 0.388 0.388 0.388
Sr 0.612 0.612 0.612
Li 0.000 0.000 0.000

Output
Formation energy: -0.20 eV/atom
Symmetry: No. 166


Record 11
An optimized crystal structure of La2Cd16Ga, computed with PBE-GGA.

Unit cell a=7.688 b=7.688 c=7.688 alpha=83.02 beta=83.02 gamma=83.02
Fractional positions:
Cd 0.698 0.305 0.000
Cd 0.658 0.658 0.138
Cd 0.138 0.658 0.658
Cd 0.000 0.305 0.698
Cd 0.019 0.475 0.019
Cd 0.806 0.368 0.368
Cd 0.368 0.368 0.806
Cd 0.368 0.806 0.368
Cd 0.083 0.083 0.083
Cd 0.698 0.000 0.305
Cd 0.658 0.138 0.658
Cd 0.305 0.000 0.698
Cd 0.475 0.019 0.019
Cd 0.305 0.698 0.000
Cd 0.000 0.698 0.305
Cd 0.019 0.019 0.475
Ga 0.892 0.892 0.892
La 0.676 0.676 0.676
La 0.334 0.334 0.334

Output
Formation energy: -0.18 eV/atom
Symmetry: No. 160


Record 12
An optimized crystal structure of CrRh2IN, computed with PBE-GGA.

Unit cell a=3.906 b=6.359 c=3.906 alpha=90.00 beta=90.00 gamma=90.00
Site moments in Bohr magnetons follow the coordinates.
Fractional positions:
I 0.000 0.500 0.000  -0.04
N 0.000 0.000 0.000  0.00
Cr 0.500 0.500 0.500  3.86
Rh 0.000 0.000 0.500  -0.11
Rh 0.500 0.000 0.000  -0.14

Output
Uncorrected formation energy: 0.61 eV/atom
Symmetry: No. 123


Record 13
An optimized crystal structure of Sm4PdS2Cl, computed with PBE-GGA.

Unit cell a=3.943 b=7.213 c=7.067 alpha=71.62 beta=90.00 gamma=90.00
Fractional positions:
Cl 0.000 0.500 0.500
S 0.000 0.000 0.000
S 0.500 0.000 0.500
Pd 0.500 0.500 0.000
Sm 0.000 0.756 0.755
Sm 0.500 0.772 0.237
Sm 0.500 0.228 0.763
Sm 0.000 0.244 0.245

Output
Uncorrected formation energy: -1.54 eV/atom
Symmetry: No. 10


Record 14
An optimized crystal structure of NaFeTeN2, computed with PBE-GGA.

Unit cell a=4.047 b=4.047 c=5.357 alpha=90.00 beta=90.00 gamma=90.00
Site moments in Bohr magnetons follow the coordinates.
Fractional positions:
Te 0.000 0.000 0.500  0.02
N 0.500 0.000 0.000  0.03
N 0.000 0.500 0.000  0.03
Fe 0.500 0.500 0.500  0.10
Na 0.000 0.000 0.000  -0.01

Output
Uncorrected formation energy: 2.65 eV/atom
Symmetry: No. 123


Record 15
An optimized crystal structure of BiRuW2, computed with PBE-GGA.

Unit cell a=3.868 b=3.868 c=10.446 alpha=79.33 beta=79.33 gamma=90.00
Fractional positions:
W 0.375 0.390 0.750
W 0.610 0.125 0.250
W 0.140 0.625 0.250
W 0.875 0.860 0.750
Ru 0.250 0.750 0.500
Ru 0.500 0.500 0.000
Bi 0.000 0.000 0.000
Bi 0.750 0.250 0.500

Output
Formation energy: 1.09 eV/atom
Symmetry: No. 122


Record 16
An optimized crystal structure of MgTcSbO6, computed with PBE-GGA.

Unit cell a=5.214 b=5.214 c=9.079 alpha=90.00 beta=90.00 gamma=120.00
Site moments in Bohr magnetons follow the coordinates.
Fractional positions:
O 0.353 0.006 0.633  0.04
O 0.006 0.653 0.367  0.04
O 0.353 0.347 0.867  0.04
O 0.347 0.353 0.367  0.04
O 0.994 0.347 0.633  0.04
O 0.653 0.647 0.633  0.04
O 0.647 0.994 0.367  0.04
O 0.006 0.353 0.133  0.04
O 0.653 0.006 0.867  0.04
O 0.647 0.653 0.133  0.04
O 0.994 0.647 0.867  0.04
O 0.347 0.994 0.133  0.04
Mg 0.000 0.000 0.000  0.01
Mg 0.000 0.000 0.500  0.01
Tc 0.667 0.333 0.750  1.55
Tc 0.333 0.667 0.250  1.55
Sb 0.333 0.667 0.750  0.05
Sb 0.667 0.333 0.250  0.05

Output
Uncorrected formation energy: -1.61 eV/atom
Symmetry: No. 163


Record 17
An optimized crystal structure of Dy2AlNi3, computed with PBE-GGA.

Unit cell a=5.292 b=5.292 c=8.100 alpha=90.00 beta=90.00 gamma=120.00
Fractional positions:
Ni 0.832 0.664 0.750
Ni 0.832 0.168 0.750
Ni 0.664 0.832 0.250
Ni 0.336 0.168 0.750
Ni 0.168 0.832 0.250
Ni 0.168 0.336 0.250
Al 0.000 0.000 0.000
Al 0.000 0.000 0.500
Dy 0.667 0.333 0.058
Dy 0.667 0.333 0.442
Dy 0.333 0.667 0.558
Dy 0.333 0.667 0.942

Output
Formation energy: -0.51 eV/atom
Symmetry: No. 194


Record 18
An optimized crystal structure of RbCBr2, computed with PBE-GGA.

Unit cell a=8.348 b=8.348 c=8.348 alpha=38.19 beta=38.19 gamma=38.19
Site moments in Bohr magnetons follow the coordinates.
Fractional positions:
Br 0.099 0.099 0.099  -0.02
Br 0.901 0.901 0.901  -0.02
C 0.000 0.000 0.000  0.53
Rb 0.500 0.500 0.500  0.00

Output
Uncorrected formation energy: 0.67 eV/atom
Symmetry: No. 166


Record 19
An optimized crystal structure of Pm2InIr, computed with PBE-GGA.

Unit cell a=3.612 b=3.612 c=7.754 alpha=90.00 beta=90.00 gamma=90.00
Fractional positions:
Pm 0.000 0.000 0.215
Pm 0.000 0.000 0.785
Ir 0.500 0.500 0.000
In 0.500 0.500 0.500

Output
Formation energy: -0.56 eV/atom
Symmetry: No. 123


Record 20
An optimized crystal structure of Ca2ReMo, computed with PBE-GGA.

Unit cell a=2.803 b=2.803 c=10.250 alpha=90.00 beta=90.00 gamma=99.45
Fractional positions:
Re 0.500 0.500 0.750
Ca 0.000 0.000 0.505
Ca 0.000 0.000 0.995
Mo 0.500 0.500 0.250

Output
Formation energy: 0.83 eV/atom
Symmetry: No. 65


Record 21
An optimized crystal structure of PuPa2Si6, computed with PBE-GGA.

Unit cell a=3.936 b=7.000 c=7.000 alpha=120.00 beta=90.00 gamma=90.00
Site moments in Bohr magnetons follow the coordinates.
Fractional positions:
Si 0.500 0.333 0.000  -0.01
Si 0.500 0.000 0.333  -0.01
Si 0.500 0.667 0.667  -0.01
Si 0.500 0.333 0.333  -0.01
Si 0.500 0.667 0.000  -0.01
Si 0.500 0.000 0.667  -0.01
Pa 0.000 0.667 0.333  -0.02
Pa 0.000 0.333 0.667  -0.02
Pu 0.000 0.000 0.000  5.04

Output
Uncorrected formation energy: -0.51 eV/atom
Symmetry: No. 191


Record 22
An optimized crystal structure of Sm5DyTh2, computed with PBE-GGA.

Unit cell a=3.543 b=11.332 c=8.934 alpha=129.36 beta=101.48 gamma=90.00
Fractional positions:
Th 0.742 0.242 0.483
Th 0.258 0.758 0.517
Sm 0.629 0.393 0.260
Sm 0.000 0.500 0.000
Sm 0.629 0.867 0.260
Sm 0.371 0.133 0.740
Sm 0.371 0.607 0.740
Dy 0.000 0.000 0.000

Output
Formation energy: 0.10 eV/atom
Symmetry: No. 71


Record 23
An optimized crystal structure of PmNdTmZr, computed with PBE-GGA.

Unit cell a=5.554 b=5.554 c=5.554 alpha=60.00 beta=60.00 gamma=60.00
Site moments in Bohr magnetons follow the coordinates.
Fractional positions:
Tm 0.500 0.500 0.500  0.21
Pm 0.000 0.000 0.000  0.18
Nd 0.250 0.250 0.250  0.02
Zr 0.750 0.750 0.750  0.71

Output
Formation energy: 0.24 eV/atom
Symmetry: No. 216